No. 1
GeBCl2, optimized geometry, DFT PBE; symmetry = R-3m (166); Fermi-level density of states = 1.24 states/eV/cell; volume = 19.5 Å³/atom; crystal system = trigonal; polymorph energy (0 for the lowest one) = 0.2679 eV/atom; uncorrected formation energy = 670 meV per atom
1.0
1.915 0.000 8.200
-0.957 1.658 8.200
-0.957 -1.658 8.200
Ge B Cl
1 1 2
Cartesian
0.000 0.000 0.000 Ge
0.000 0.000 12.300 B
0.000 0.000 21.979 Cl
0.000 0.000 2.622 Cl


No. 2
K5S, optimized geometry, DFT PBE; symmetry = C2/c (15); Fermi-level density of states = 5.97 states/eV/cell; volume = 62.2 Å³/atom; crystal system = monoclinic; polymorph energy (0 for the lowest one) = 0.0000 eV/atom; uncorrected formation energy = -463 meV per atom
1.0
-6.804 -3.063 -4.316
5.717 -6.269 1.524
-2.456 1.970 11.577
K S
10 2
Cartesian
-1.848 -0.887 10.704 K
1.532 -3.925 10.595 K
-3.023 -1.967 5.824 K
-1.126 -6.209 7.233 K
2.339 -4.148 5.935 K
-5.882 -3.215 2.850 K
-2.418 -1.153 1.552 K
-0.520 -5.396 2.961 K
-5.075 -3.438 -1.810 K
-1.695 -6.476 -1.920 K
0.000 0.000 0.000 S
-4.630 -0.547 3.630 S


No. 3
Tb2CdGa, optimized geometry, DFT PBE; symmetry = R-3m (166); Fermi-level density of states = 2.68 states/eV/cell; volume = 26.9 Å³/atom; crystal system = trigonal; calculated formation energy = -0.30 eV/atom
1.0
-1.622 -2.897 1.536
1.737 -3.217 0.123
3.717 0.262 8.774
Tb Ga Cd
2 1 1
Cartesian
2.944 -4.345 7.980 Tb
0.888 -1.506 2.452 Tb
0.000 0.000 0.000 Ga
1.916 -2.926 5.216 Cd


No. 4
Mn3SiH, optimized geometry, DFT PBE; symmetry = Pm-3m (221); Fermi-level density of states = 0.91 states/eV/cell; volume = 9.8 Å³/atom; crystal system = cubic; polymorph energy (0 for the lowest one) = 0.0000 eV/atom
1.0
-2.374 -0.123 2.775
0.808 -3.523 0.535
2.658 0.961 2.316
H Si Mn
1 1 3
Cartesian
0.000 0.000 0.000 H
0.546 -1.342 2.813 Si
0.404 -1.762 0.268 Mn
1.329 0.481 1.158 Mn
-1.187 -0.061 1.388 Mn


No. 5
AgNF2, optimized geometry, DFT PBE; symmetry = R-3m (166); Fermi-level density of states = 0.00 states/eV/cell; volume = 16.2 Å³/atom; crystal system = trigonal; polymorph energy (0 for the lowest one) = 1.1953 eV/atom; uncorrected formation energy = 389 meV per atom
1.0
1.160 -6.158 2.592
4.149 -5.205 1.293
3.198 -4.095 4.357
N Ag F
1 1 2
Cartesian
0.000 0.000 0.000 N
4.253 -7.729 4.121 Ag
7.737 -14.059 7.497 F
0.769 -1.398 0.745 F


No. 6
HgSb2Se4, optimized geometry, DFT PBE; symmetry = I4_1/amd (141); Fermi-level density of states = 4.53 states/eV/cell; volume = 30.2 Å³/atom; crystal system = tetragonal; polymorph energy (0 for the lowest one) = 0.0000 eV/atom; uncorrected formation energy = -193 meV per atom
1.0
7.517 0.013 -3.805
-1.879 7.337 -3.690
-0.478 -0.741 8.384
Hg Sb Se
2 4 8
Cartesian
0.230 5.137 0.472 Hg
-1.878 7.336 -3.689 Hg
2.935 6.243 -3.511 Sb
3.635 2.204 2.526 Sb
-0.123 2.197 4.428 Sb
3.874 2.574 -1.666 Sb
5.037 3.904 0.637 Se
2.233 0.503 4.415 Se
6.157 0.783 -1.580 Se
2.596 0.778 0.222 Se
5.928 0.428 2.385 Se
1.592 4.365 -1.752 Se
5.152 4.371 -3.554 Se
1.343 3.979 2.667 Se


No. 7
Tb5Tm2Mg5, optimized geometry, DFT PBE; symmetry = C2/m (12); Fermi-level density of states = 12.80 states/eV/cell; volume = 28.2 Å³/atom; crystal system = monoclinic; polymorph energy (0 for the lowest one) = 0.0000 eV/atom; calculated formation energy = -0.04 eV/atom
1.0
3.561 0.000 0.560
1.386 8.129 2.788
-0.014 0.001 11.681
Tb Tm Mg
5 2 5
Cartesian
2.467 4.065 7.515 Tb
1.621 2.535 1.291 Tb
2.784 7.024 5.498 Tb
2.149 1.107 9.532 Tb
3.312 5.596 13.738 Tb
3.790 3.946 10.700 Tm
1.143 4.184 4.329 Tm
4.112 6.837 8.653 Mg
1.939 6.694 10.868 Mg
2.994 1.437 4.161 Mg
0.821 1.294 6.376 Mg
0.000 0.000 0.000 Mg


No. 8
TaCoGe3, optimized geometry, DFT PBE; symmetry = Pm-3m (221); Fermi-level density of states = 12.43 states/eV/cell; volume = 24.7 Å³/atom; crystal system = cubic; calculated formation energy = 1.03 eV/atom
1.0
-2.556 2.649 -3.358
-1.501 -4.218 -2.186
-4.005 -0.110 2.962
Ge Co Ta
3 1 1
Cartesian
-0.750 -2.109 -1.093 Ge
-2.002 -0.055 1.481 Ge
-1.278 1.325 -1.679 Ge
-4.031 -0.839 -1.291 Co
0.000 0.000 0.000 Ta


No. 9
Pr6PtRh5, optimized geometry, DFT PBE; symmetry = P2/m (10); Fermi-level density of states = 6.70 states/eV/cell; volume = 22.9 Å³/atom; crystal system = monoclinic; calculated formation energy = -0.67 eV/atom
1.0
-0.572 0.810 4.957
-6.973 -1.665 -0.533
1.918 -7.677 -1.118
Pr Rh Pt
6 5 1
Cartesian
-4.426 -5.679 2.985 Pr
-0.950 -4.849 3.251 Pr
-2.042 -0.015 2.344 Pr
-3.585 -8.518 0.962 Pr
-4.677 -3.684 0.055 Pr
-1.201 -2.854 0.321 Pr
-3.232 -2.833 2.659 Rh
-5.895 -6.469 0.370 Rh
-3.486 -0.833 -0.267 Rh
0.268 -2.064 2.936 Rh
-2.395 -5.700 0.647 Rh
0.000 0.000 0.000 Pt


No. 10
Tc3SnBr, optimized geometry, DFT PBE; symmetry = Pm-3m (221); Fermi-level density of states = 6.44 states/eV/cell; volume = 19.3 Å³/atom; crystal system = cubic; polymorph energy (0 for the lowest one) = 0.0000 eV/atom; uncorrected formation energy = 1458 meV per atom
1.0
-3.431 1.273 2.767
-2.363 -3.743 -1.208
1.922 -2.328 3.455
Sn Br Tc
1 1 3
Cartesian
-1.936 -2.399 2.507 Sn
0.000 0.000 0.000 Br
-1.181 -1.871 -0.604 Tc
0.961 -1.164 1.727 Tc
-1.716 0.637 1.384 Tc


No. 11
AgHgPt2, optimized geometry, DFT PBE; symmetry = Pm (6); Fermi-level density of states = 2.72 states/eV/cell; volume = 17.3 Å³/atom; crystal system = monoclinic; calculated formation energy = 0.05 eV/atom
1.0
4.105 0.000 0.000
0.000 2.875 0.023
0.000 2.835 5.903
Ag Hg Pt
1 1 2
Cartesian
0.000 2.855 2.910 Ag
2.052 4.282 4.466 Hg
0.000 2.875 0.080 Pt
2.052 1.427 1.458 Pt


No. 12
CeNdTe2, optimized geometry, DFT PBE; symmetry = R-3m (166); Fermi-level density of states = 7.78 states/eV/cell; volume = 32.1 Å³/atom; crystal system = trigonal; polymorph energy (0 for the lowest one) = 0.0000 eV/atom; uncorrected formation energy = -1403 meV per atom
1.0
-2.427 -0.885 -3.658
-0.236 -4.186 -1.571
-6.818 -2.947 2.496
Te Nd Ce
2 1 1
Cartesian
-2.367 -2.004 -0.685 Te
-7.114 -6.014 -2.048 Te
-4.741 -4.009 -1.367 Nd
0.000 0.000 0.000 Ce


No. 13
Ac4DyTe6, optimized geometry, DFT PBE; symmetry = R-3c (167); Fermi-level density of states = 12.58 states/eV/cell; volume = 35.3 Å³/atom; crystal system = trigonal; uncorrected formation energy = -1457 meV per atom
1.0
-5.705 -5.883 4.171
6.343 -6.603 -0.852
3.547 2.214 8.190
Ac Dy Te
8 2 12
Cartesian
-0.309 -2.487 3.442 Ac
-2.049 -5.922 6.352 Ac
3.105 -5.376 1.626 Ac
2.819 -1.461 6.972 Ac
1.365 -8.811 4.536 Ac
1.079 -4.896 9.882 Ac
6.234 -4.350 5.156 Ac
4.493 -7.785 8.066 Ac
2.092 -5.136 5.754 Dy
0.000 0.000 0.000 Dy
-3.237 -4.244 3.448 Te
1.769 -2.421 0.554 Te
0.136 -5.904 3.544 Te
-2.435 -4.538 9.451 Te
0.022 -3.226 6.923 Te
3.181 -2.885 4.009 Te
1.003 -7.387 7.500 Te
4.162 -7.046 4.585 Te
6.619 -5.734 2.057 Te
4.048 -4.368 7.964 Te
2.416 -7.851 10.954 Te
7.422 -6.028 8.060 Te


No. 14
Ho4InPdRh2, optimized geometry, DFT PBE; symmetry = R-3m (166); Fermi-level density of states = 5.56 states/eV/cell; volume = 21.8 Å³/atom; crystal system = trigonal; calculated formation energy = -0.74 eV/atom
1.0
-4.652 0.957 -1.470
-1.828 -2.209 -4.062
-4.872 -6.577 2.727
Ho In Pd Rh
4 1 1 2
Cartesian
-6.645 -6.115 0.230 Ho
-7.535 -3.647 -3.754 Ho
-3.817 -4.181 0.949 Ho
-4.707 -1.714 -3.035 Ho
0.000 0.000 0.000 In
-5.676 -3.914 -1.403 Pd
-8.526 -5.898 -2.084 Rh
-2.826 -1.930 -0.721 Rh


No. 15
NdY6Er8, optimized geometry, DFT PBE; symmetry = P-3 (147); Fermi-level density of states = 22.78 states/eV/cell; volume = 33.1 Å³/atom; crystal system = trigonal; polymorph energy (0 for the lowest one) = 0.0993 eV/atom; calculated formation energy = 0.23 eV/atom
1.0
-0.333 -0.436 -6.413
6.572 -6.771 0.119
-9.136 -2.280 0.630
Nd Y Er
1 6 8
Cartesian
-0.167 -0.218 -3.206 Nd
3.350 -5.117 -3.627 Y
0.400 -7.651 -3.302 Y
-0.330 -3.824 -3.524 Y
-6.247 -4.370 -2.037 Y
-3.297 -1.837 -2.363 Y
-2.567 -5.663 -2.140 Y
3.253 -7.734 -5.516 Er
-1.858 -6.553 -5.331 Er
1.705 -2.725 -5.776 Er
-6.150 -1.754 -0.149 Er
-1.039 -2.934 -0.334 Er
-4.602 -6.762 0.111 Er
-4.182 -4.146 -4.976 Er
1.285 -5.341 -0.689 Er


No. 16
Ac4PrBi5, optimized geometry, DFT PBE; symmetry = Immm (71); Fermi-level density of states = 1.48 states/eV/cell; volume = 40.0 Å³/atom; crystal system = orthorhombic; polymorph energy (0 for the lowest one) = 0.0000 eV/atom; calculated formation energy = -0.99 eV/atom
1.0
4.751 0.000 -0.917
-0.353 6.582 -1.828
0.002 -0.006 12.784
Ac Pr Bi
4 1 5
Cartesian
1.764 2.633 9.144 Ac
3.530 5.277 5.526 Ac
0.871 1.300 4.514 Ac
2.637 3.944 0.896 Ac
0.000 0.000 0.000 Pr
2.795 0.626 1.717 Bi
3.693 1.966 6.371 Bi
0.708 4.611 3.669 Bi
-0.176 3.291 -0.914 Bi
1.606 5.950 8.323 Bi


No. 17
MnCd2Pt, optimized geometry, DFT PBE; symmetry = Pmmm (47); Fermi-level density of states = 2.67 states/eV/cell; volume = 17.6 Å³/atom; crystal system = orthorhombic; calculated formation energy = -0.04 eV/atom
1.0
-2.358 -0.481 -1.727
-2.070 -1.481 3.240
-1.947 5.303 1.181
Cd Mn Pt
2 1 1
Cartesian
-1.945 5.296 1.179 Cd
-0.976 2.659 0.592 Cd
-2.701 0.344 1.052 Mn
-3.674 2.996 1.642 Pt


No. 18
Pm4Si2N, optimized geometry, DFT PBE; symmetry = I4/mmm (139); Fermi-level density of states = 8.11 states/eV/cell; volume = 24.9 Å³/atom; crystal system = tetragonal; polymorph energy (0 for the lowest one) = 0.2362 eV/atom; uncorrected formation energy = -445 meV per atom
1.0
4.823 0.000 0.000
0.000 4.823 0.000
2.411 2.411 7.509
Si N Pm
2 1 4
Cartesian
4.823 4.823 1.885 Si
2.411 2.411 5.623 Si
0.000 0.000 0.000 N
4.823 4.823 4.796 Pm
2.411 2.411 2.713 Pm
0.000 2.411 0.000 Pm
2.411 0.000 0.000 Pm


No. 19
Er6Sn2Rh, optimized geometry, DFT PBE; symmetry = Immm (71); Fermi-level density of states = 6.62 states/eV/cell; volume = 29.6 Å³/atom; crystal system = orthorhombic; calculated formation energy = -0.45 eV/atom
1.0
-4.846 -1.225 -0.777
0.125 -4.146 5.754
0.236 8.432 1.698
Er Sn Rh
6 2 1
Cartesian
-0.615 0.749 2.650 Er
-3.935 4.470 1.031 Er
-3.870 2.312 4.025 Er
-2.394 -1.561 0.929 Er
-0.550 -1.408 5.644 Er
-2.327 -3.810 4.049 Er
-3.093 -0.708 3.930 Sn
-1.392 3.769 2.746 Sn
0.000 0.000 0.000 Rh


No. 20
CsCoP2Cl, optimized geometry, DFT PBE; symmetry = P4/mmm (123); Fermi-level density of states = 13.22 states/eV/cell; volume = 35.2 Å³/atom; crystal system = tetragonal; polymorph energy (0 for the lowest one) = 2.3253 eV/atom; uncorrected formation energy = 2106 meV per atom
1.0
-4.439 3.174 0.320
-0.450 -1.166 5.322
3.401 4.626 1.301
Cs P Co Cl
1 2 1 1
Cartesian
0.000 0.000 0.000 Cs
-0.225 -0.583 2.661 P
-2.220 1.587 0.160 P
-0.744 3.317 3.471 Co
1.701 2.313 0.650 Cl